TaIn: relaxed, GGA-PBE.

It has space group Fm-3m (No. 225), with a = 5.6201 Å, b = 5.6201 Å, c = 5.6201 Å, α = 90.00°, β = 90.00° and γ = 90.00°. The inequivalent atoms are Ta at (0.0000, 0.0000, 0.0000) and In at (0.0000, 0.0000, 0.5000).

TaIn: relaxed, GGA-PBE.

It has space group I4_1/amd (No. 141, origin choice 2), with a = 4.1875 Å, b = 4.1875 Å, c = 9.0197 Å, α = 90.00°, β = 90.00° and γ = 90.00°. The inequivalent atoms are Ta at (0.0000, 0.2500, 0.3750) and In at (0.0000, 0.2500, 0.8750).

Number 1: total DFT energy (no corrections) -6.35 eV/atom, spin magnetization 0.0 μB/f.u.. Number 2: total DFT energy (no corrections) -7.01 eV/atom, spin magnetization 0.0 μB/f.u..